! GGA-PBE Mg2InSb, optimized geometry; values from VASP
! Uncorrected formation energy (eV per atom): -0.077
! Space group: Pmm2
! N(E_F) (states/eV/f.u.): 1.7
! Energy above the lowest structure with this stoichiometry (meV per atom): 75
&SYSTEM
  ibrav = 0, nat = 4, ntyp = 3
/
ATOMIC_SPECIES
Sb 121.76 Sb.upf
Mg 24.30 Mg.upf
In 114.82 In.upf
ATOMIC_POSITIONS angstrom
Sb -1.421 2.456 0.813
Mg -3.035 5.244 1.737
Mg -2.572 -0.089 2.100
In -4.148 2.633 3.002
CELL_PARAMETERS angstrom
-2.970 -1.414 -0.920
-0.496 -1.665 4.161
-3.084 5.329 1.765